PBE Nb6SiSn, optimized geometry; density of states at the Fermi level = 13.44 states/eV per cell; formation energy from raw total energies = -0.25 eV per atom; crystal system = cubic; space-group type = Pm-3
1.0
5.2340 0.0000 0.0000
0.0000 5.2340 0.0000
0.0000 0.0000 5.2340
Nb Sn Si
6 1 1
Direct
0.2425 0.0000 0.5000
0.0000 0.5000 0.7575
0.0000 0.5000 0.2425
0.5000 0.2425 0.0000
0.7575 0.0000 0.5000
0.5000 0.7575 0.0000
0.5000 0.5000 0.5000
0.0000 0.0000 0.0000

PBE NpO2, optimized geometry; density of states at the Fermi level = 6.71 states/eV per cell; formation energy from raw total energies = -3.12 eV per atom; crystal system = cubic; space-group type = Fm-3m
1.0
3.8135 0.0000 0.0000
1.9068 3.3026 0.0000
1.9068 1.1009 3.1137
Np O
1 2
Direct
0.5000 0.5000 0.5000
0.2500 0.2500 0.2500
0.7500 0.7500 0.7500

PBE Pr2CdAg2Pd5, optimized geometry; ΔE_f = -456 meV per atom; density of states at the Fermi level = 8.34 states/eV per cell; crystal system = tetragonal; space-group type = P4/mbm
1.0
-3.1716 -1.4614 2.1653
0.4360 -8.4486 -5.0635
6.2531 -3.6787 6.6764
Cd Pr Ag Pd
2 4 4 10
Direct
0.0000 0.5000 0.5000
0.0000 0.0000 0.0000
0.0000 0.3243 0.8243
0.0000 0.8243 0.6757
0.0000 0.1757 0.3243
0.0000 0.6757 0.1757
0.0000 0.1226 0.6226
0.0000 0.6226 0.8774
0.0000 0.3774 0.1226
0.0000 0.8774 0.3774
0.5000 0.7997 0.9370
0.5000 0.5000 0.0000
0.5000 0.2003 0.0630
0.5000 0.2997 0.5630
0.5000 0.0630 0.7997
0.5000 0.0000 0.5000
0.5000 0.4370 0.2997
0.5000 0.9370 0.2003
0.5000 0.5630 0.7003
0.5000 0.7003 0.4370

PBE Rb2AlInTe, optimized geometry; density of states at the Fermi level = 4.50 states/eV per cell; formation energy from raw total energies = 0.12 eV per atom; crystal system = tetragonal; space-group type = P4/mmm
1.0
-4.0423 -1.7179 5.3596
-3.5128 -2.5898 -3.4795
3.5578 -5.8930 0.7944
In Te Al Rb
1 1 1 2
Direct
0.5000 0.5000 0.5000
0.0000 0.0000 0.0000
0.0000 0.5000 0.0000
0.5000 0.0000 0.0000
0.0000 0.0000 0.5000

PBE Ho12Tl6Cu, optimized geometry; ΔE_f = -125 meV per atom; density of states at the Fermi level = 16.45 states/eV per cell; crystal system = trigonal; space-group type = R-3
1.0
8.2161 0.4011 0.4805
-0.8492 8.1819 0.4805
-0.8492 -0.9893 8.1361
Ho Tl Cu
12 6 1
Direct
0.3209 0.9793 0.1045
0.8955 0.6791 0.0207
0.2027 0.4347 0.5454
0.4347 0.5454 0.2027
0.6791 0.0207 0.8955
0.4546 0.7973 0.5653
0.1045 0.3209 0.9793
0.9793 0.1045 0.3209
0.5454 0.2027 0.4347
0.7973 0.5653 0.4546
0.0207 0.8955 0.6791
0.5653 0.4546 0.7973
0.7363 0.3373 0.1332
0.3373 0.1332 0.7363
0.2637 0.6627 0.8668
0.8668 0.2637 0.6627
0.6627 0.8668 0.2637
0.1332 0.7363 0.3373
0.0000 0.0000 0.0000

PBE ZrNiW2, optimized geometry; ΔE_f = 182 meV per atom; density of states at the Fermi level = 3.73 states/eV per cell; crystal system = tetragonal; space-group type = P4/mmm
1.0
2.7525 0.0000 0.0000
0.0000 2.7525 0.0000
0.0000 0.0000 8.5271
Ni Zr W
1 1 2
Direct
0.5000 0.5000 0.7500
0.5000 0.5000 0.2500
0.0000 0.0000 0.5358
0.0000 0.0000 0.9642

PBE La3Ga2GePd9, optimized geometry; ΔE_f = -587 meV per atom; density of states at the Fermi level = 7.73 states/eV per cell; crystal system = trigonal; space-group type = P-3m1
1.0
6.6510 0.0000 0.0000
-3.3255 5.7600 0.0000
0.0000 0.0000 8.5621
Pd Ga La Ge
9 2 3 1
Direct
0.1404 0.2807 0.2844
0.5000 0.5000 0.0000
0.2807 0.1404 0.7156
0.8596 0.1404 0.7156
0.0000 0.5000 0.0000
0.7193 0.8596 0.2844
0.1404 0.8596 0.2844
0.5000 0.0000 0.0000
0.8596 0.7193 0.7156
0.3333 0.6667 0.1867
0.6667 0.3333 0.8133
0.6667 0.3333 0.2987
0.0000 0.0000 0.0000
0.3333 0.6667 0.7013
0.0000 0.0000 0.5000

PBE NbFe3Ge, optimized geometry; ΔE_f = 566 meV per atom; density of states at the Fermi level = 10.30 states/eV per cell; crystal system = tetragonal; space-group type = I-4m2
1.0
4.6401 0.0000 0.0000
0.0000 4.6401 0.0000
-2.3201 -2.3201 8.1426
Ge Fe Nb
2 6 2
Direct
0.0000 0.0000 0.0000
0.2500 0.7500 0.5000
0.1268 0.3744 0.2536
0.1208 0.8732 0.7464
0.6256 0.8732 0.7464
0.2786 0.2786 0.5573
0.1268 0.8792 0.2536
0.7214 0.7214 0.4427
0.8475 0.3475 0.6951
0.6525 0.1525 0.3049

> What is the density of states at the Fermi level in the fourth record?

4.50 states/eV per cell